(1)
Compound: Cu2OsPt
Source: the Alexandria database
Functional: PBE-GGA
Structure: optimized geometry Values from VASP.

Geometry as Quantum ESPRESSO input:
```
&SYSTEM
  ibrav = 0, nat = 4, ntyp = 3
/
ATOMIC_SPECIES
Pt 195.08 Pt.upf
Cu 63.55 Cu.upf
Os 190.23 Os.upf
CELL_PARAMETERS angstrom
-2.3241 -3.6074 -1.8378
3.7311 -1.6603 2.2616
-1.4294 -0.2042 2.2083
ATOMIC_POSITIONS angstrom
Pt 1.1509 -0.9322 2.2349
Cu 0.7035 -2.6338 0.2119
Cu 0.0000 0.0000 0.0000
Os -1.8767 -1.9058 0.1852
```

Computed properties:
As for the relative energy among the computed polymorphs: 193 meV/atom. The value obtained for the density of states at the Fermi level is 1.12 states/eV per atom. Its total energy is -6.105 eV per atom. The formation energy from the elements is 260.4 meV/atom.

---

(2)
Compound: CuOsPt2
Source: the Alexandria database
Functional: PBE-GGA
Structure: optimized geometry Values from VASP.

Geometry as Quantum ESPRESSO input:
```
&SYSTEM
  ibrav = 0, nat = 4, ntyp = 3
/
ATOMIC_SPECIES
Pt 195.08 Pt.upf
Os 190.23 Os.upf
Cu 63.55 Cu.upf
CELL_PARAMETERS angstrom
-0.3298 -1.1763 2.4274
-0.7665 -1.3136 -2.2521
8.4449 -3.7658 -0.6776
ATOMIC_POSITIONS angstrom
Pt 0.0674 -0.0301 -0.0054
Os 5.7856 -4.0694 -0.4205
Cu 1.5631 -2.1864 -0.0817
Pt 4.1550 -1.8529 -0.3334
```

Computed properties:
As for the relative energy among the computed polymorphs: 198 meV/atom. The value obtained for the density of states at the Fermi level is 1.10 states/eV per atom. Its total energy is -6.645 eV per atom. The formation energy from the elements is 206.4 meV/atom.

---

(3)
Compound: CuOsPt2
Source: the Alexandria database
Functional: PBE-GGA
Structure: optimized geometry Values from VASP.

Geometry as Quantum ESPRESSO input:
```
&SYSTEM
  ibrav = 0, nat = 4, ntyp = 3
/
ATOMIC_SPECIES
Pt 195.08 Pt.upf
Os 190.23 Os.upf
Cu 63.55 Cu.upf
CELL_PARAMETERS angstrom
2.7539 0.0000 0.0000
0.0000 2.7539 0.0000
0.0000 0.0000 7.6476
ATOMIC_POSITIONS angstrom
Pt 0.0000 0.0000 7.5573
Os 1.3770 1.3770 5.6945
Cu 0.0000 0.0000 3.8637
Pt 1.3770 1.3770 2.0036
```

Computed properties:
As for the relative energy among the computed polymorphs: 107 meV/atom. The value obtained for the density of states at the Fermi level is 0.75 states/eV per atom. Its total energy is -6.736 eV per atom. The formation energy from the elements is 115.9 meV/atom.

---

(4)
Compound: CuOsPt2
Source: the Alexandria database
Functional: PBE-GGA
Structure: optimized geometry Values from VASP.

Geometry as Quantum ESPRESSO input:
```
&SYSTEM
  ibrav = 0, nat = 4, ntyp = 3
/
ATOMIC_SPECIES
Pt 195.08 Pt.upf
Cu 63.55 Cu.upf
Os 190.23 Os.upf
CELL_PARAMETERS angstrom
-2.7659 -3.7828 0.5736
-0.1900 -4.6716 0.6547
-0.1645 -0.0402 4.7819
ATOMIC_POSITIONS angstrom
Pt -0.1738 -0.0678 4.7730
Pt -1.5510 -4.2198 3.0140
Cu -0.7801 -2.1237 1.5025
Os -2.3403 -6.3710 4.5076
```

Computed properties:
As for the relative energy among the computed polymorphs: 141 meV/atom. The value obtained for the density of states at the Fermi level is 1.26 states/eV per atom. Its total energy is -6.703 eV per atom. The formation energy from the elements is 149.1 meV/atom.

---

(5)
Compound: CuOsPt2
Source: the Alexandria database
Functional: PBE-GGA
Structure: optimized geometry Values from VASP.

Geometry as Quantum ESPRESSO input:
```
&SYSTEM
  ibrav = 0, nat = 4, ntyp = 3
/
ATOMIC_SPECIES
Cu 63.55 Cu.upf
Os 190.23 Os.upf
Pt 195.08 Pt.upf
CELL_PARAMETERS angstrom
9.0497 0.0093 0.0055
8.6313 2.7200 0.0055
8.6313 1.3324 2.3713
ATOMIC_POSITIONS angstrom
Cu 13.1236 2.0258 1.1882
Os 19.8070 3.0575 1.7933
Pt 6.4696 0.9987 0.5857
Pt 0.0683 0.0105 0.0062
```

Computed properties:
As for the relative energy among the computed polymorphs: 40 meV/atom. The value obtained for the density of states at the Fermi level is 0.65 states/eV per atom. Its total energy is -6.803 eV per atom. The formation energy from the elements is 48.5 meV/atom.

---

(6)
Compound: Cu2OsPt
Source: the Alexandria database
Functional: PBE-GGA
Structure: optimized geometry Values from VASP.

Geometry as Quantum ESPRESSO input:
```
&SYSTEM
  ibrav = 0, nat = 4, ntyp = 3
/
ATOMIC_SPECIES
Cu 63.55 Cu.upf
Pt 195.08 Pt.upf
Os 190.23 Os.upf
CELL_PARAMETERS angstrom
-0.7186 4.2270 -0.2030
-0.5739 2.2551 3.6070
3.0186 2.7556 1.3116
ATOMIC_POSITIONS angstrom
Cu 0.0000 0.0000 0.0000
Cu 0.4315 2.3094 1.1789
Pt 1.2945 6.9283 3.5367
Os 0.8630 4.6188 2.3578
```

Computed properties:
As for the relative energy among the computed polymorphs: 306 meV/atom. The value obtained for the density of states at the Fermi level is 0.78 states/eV per atom. Its total energy is -5.992 eV per atom. The formation energy from the elements is 373.4 meV/atom.

---

(7)
Compound: Cu2OsPt
Source: the Alexandria database
Functional: PBE-GGA
Structure: optimized geometry Values from VASP.

Geometry as Quantum ESPRESSO input:
```
&SYSTEM
  ibrav = 0, nat = 4, ntyp = 3
/
ATOMIC_SPECIES
Cu 63.55 Cu.upf
Pt 195.08 Pt.upf
Os 190.23 Os.upf
CELL_PARAMETERS angstrom
2.6831 0.0000 0.0000
0.0000 2.6831 0.0000
0.0000 0.0000 7.5707
ATOMIC_POSITIONS angstrom
Cu 0.0000 0.0000 3.7613
Pt 1.3415 1.3415 5.6780
Cu 0.0000 0.0000 0.0241
Os 1.3415 1.3415 1.8927
```

Computed properties:
As for the relative energy among the computed polymorphs: 163 meV/atom. The value obtained for the density of states at the Fermi level is 1.43 states/eV per atom. Its total energy is -6.136 eV per atom. The formation energy from the elements is 229.9 meV/atom.

---

(8)
Compound: Cu2OsPt
Source: the Alexandria database
Functional: PBE-GGA
Structure: optimized geometry Values from VASP.

Geometry as Quantum ESPRESSO input:
```
&SYSTEM
  ibrav = 0, nat = 4, ntyp = 3
/
ATOMIC_SPECIES
Os 190.23 Os.upf
Cu 63.55 Cu.upf
Pt 195.08 Pt.upf
CELL_PARAMETERS angstrom
4.4192 0.0000 0.0000
0.0000 4.4192 0.0000
0.0000 0.0000 2.7662
ATOMIC_POSITIONS angstrom
Os 2.2096 0.0000 1.3831
Cu 2.2096 2.2096 0.0000
Cu 0.0000 0.0000 0.0000
Pt 0.0000 2.2096 1.3831
```

Computed properties:
As for the relative energy among the computed polymorphs: 263 meV/atom. The value obtained for the density of states at the Fermi level is 1.36 states/eV per atom. Its total energy is -6.035 eV per atom. The formation energy from the elements is 330.7 meV/atom.